1.
DFT (GGA-PBE) results for a relaxed structure of K2CoPbCl6.

a b c (Å): 7.489 7.251 7.364
angles (deg): 119.35 120.04 91.24
Last column: magnetic moment on the atom in μB.
Fractional positions:
Cl 0.799 0.262 0.979  0.05
Cl 0.846 0.817 0.543  0.05
Cl 0.680 0.744 0.878  0.05
Cl 0.201 0.739 0.021  0.05
Cl 0.153 0.183 0.457  0.05
Cl 0.320 0.257 0.121  0.05
Pb 0.500 0.500 0.000  0.04
K 0.230 0.729 0.466  0.00
K 0.770 0.272 0.534  0.00
Co 0.000 0.000 0.000  2.50

Values from the calculation:
energy relative to the elements, uncorrected	-1.272	eV/atom
SG	P-1, No. 2

---

2.
DFT (GGA-PBE) results for a relaxed structure of TcSbOsI2.

a b c (Å): 5.374 5.374 5.174
angles (deg): 90.00 90.00 90.00
Last column: magnetic moment on the atom in μB.
Fractional positions:
Os 0.500 0.500 0.500  3.03
Sb 0.000 0.000 0.500  0.01
Tc 0.000 0.000 0.000  -1.07
I 0.500 0.000 0.000  0.05
I 0.000 0.500 0.000  0.05

Values from the calculation:
energy relative to the elements, uncorrected	1.684	eV/atom
distance to the lowest polymorph of the same formula	0.230	eV per atom
SG	P4/mmm, No. 123

---

3.
DFT (GGA-PBE) results for a relaxed structure of DyTiCr4.

a b c (Å): 5.031 5.031 5.031
angles (deg): 60.00 60.00 60.00
Fractional positions:
Cr 0.625 0.125 0.625
Cr 0.625 0.625 0.125
Cr 0.125 0.625 0.625
Cr 0.625 0.625 0.625
Ti 0.250 0.250 0.250
Dy 0.000 0.000 0.000

Values from the calculation:
calculated formation energy	1.14	eV per formula unit
SG	F-43m, No. 216